Record 1
The following is a PBE calculation of a relaxed structure of DyTm3Pb3, from the Alexandria database.

a = 9.3139 Å, b = 9.3139 Å, c = 9.3139 Å
α = 90.00°, β = 90.00°, γ = 90.00°
Closest atoms and distances in Å follow each position.
Atoms (fractional coordinates):
Dy1 0.0697 0.4303 0.5697  6 Pb 3.11-3.36
Dy2 0.4303 0.5697 0.0697  6 Pb 3.11-3.36
Dy3 0.5697 0.0697 0.4303  6 Pb 3.11-3.36
Dy4 0.9303 0.9303 0.9303  6 Pb 3.11-3.36
Tm1 0.0725 0.5725 0.9275  6 Pb 3.09-3.35
Tm2 0.1792 0.1792 0.1792  6 Pb 3.10-3.35
Tm3 0.1787 0.8213 0.3213  6 Pb 3.11-3.34
Tm4 0.3213 0.1787 0.8213  6 Pb 3.11-3.34
Tm5 0.3208 0.8208 0.6792  6 Pb 3.10-3.35
Tm6 0.4275 0.4275 0.4275  6 Pb 3.09-3.35
Tm7 0.5725 0.9275 0.0725  6 Pb 3.09-3.35
Tm8 0.6792 0.3208 0.8208  6 Pb 3.10-3.35
Tm9 0.6787 0.6787 0.6787  6 Pb 3.11-3.34
Tm10 0.8213 0.3213 0.1787  6 Pb 3.11-3.34
Tm11 0.8208 0.6792 0.3208  6 Pb 3.10-3.35
Tm12 0.9275 0.0725 0.5725  6 Pb 3.09-3.35
Pb1 0.0004 0.2524 0.8755  6 Tm 3.09-3.35, 2 Dy 3.11-3.36
Pb2 0.9996 0.7524 0.6245  6 Tm 3.09-3.35, 2 Dy 3.11-3.36
Pb3 0.1245 0.5004 0.2476  6 Tm 3.09-3.35, 2 Dy 3.11-3.36
Pb4 0.2476 0.1245 0.5004  6 Tm 3.09-3.35, 2 Dy 3.11-3.36
Pb5 0.2524 0.8755 0.0004  6 Tm 3.09-3.35, 2 Dy 3.11-3.36
Pb6 0.3755 0.4996 0.7476  6 Tm 3.09-3.35, 2 Dy 3.11-3.36
Pb7 0.5004 0.2476 0.1245  6 Tm 3.09-3.35, 2 Dy 3.11-3.36
Pb8 0.4996 0.7476 0.3755  6 Tm 3.09-3.35, 2 Dy 3.11-3.36
Pb9 0.6245 0.9996 0.7524  6 Tm 3.09-3.35, 2 Dy 3.11-3.36
Pb10 0.7476 0.3755 0.4996  6 Tm 3.09-3.35, 2 Dy 3.11-3.36
Pb11 0.7524 0.6245 0.9996  6 Tm 3.09-3.35, 2 Dy 3.11-3.36
Pb12 0.8755 0.0004 0.2524  6 Tm 3.09-3.35, 2 Dy 3.11-3.36

Output
Energy in eV/atom: -4.6583
Energy relative to the lowest polymorph listed for this composition in eV per atom: 0.0000
N(E_F) in states/eV per cell: 6.1
Formation energy in eV/atom: -0.495
SG: P2_13, No. 198

Record 2
The following is a PBE calculation of a relaxed structure of Sr5MgGa2, from the Alexandria database.

a = 10.3613 Å, b = 10.3613 Å, c = 10.3613 Å
α = 131.24°, β = 131.24°, γ = 71.44°
Closest atoms and distances in Å follow each position.
Atoms (fractional coordinates):
Sr1 0.0000 0.0000 0.0000  4 Ga 3.48
Sr2 0.0338 0.5338 0.8437  3 Ga 3.38-3.54, 2 Mg 3.69
Sr3 0.1901 0.0338 0.5000  3 Ga 3.38-3.54, 2 Mg 3.69
Sr4 0.3099 0.8099 0.8437  3 Ga 3.38-3.54, 2 Mg 3.69
Sr5 0.4662 0.3099 0.5000  3 Ga 3.38-3.54, 2 Mg 3.69
Sr6 0.5000 0.5000 0.0000  4 Ga 3.48
Sr7 0.5338 0.6901 0.5000  3 Ga 3.38-3.54, 2 Mg 3.69
Sr8 0.6901 0.1901 0.1563  3 Ga 3.38-3.54, 2 Mg 3.69
Sr9 0.8099 0.9662 0.5000  3 Ga 3.38-3.54, 2 Mg 3.69
Sr10 0.9662 0.4662 0.1563  3 Ga 3.38-3.54, 2 Mg 3.69
Mg1 0.2500 0.2500 0.0000  8 Sr 3.69
Mg2 0.7500 0.7500 0.0000  8 Sr 3.69
Ga1 0.1075 0.3925 0.5000  1 Ga 2.60
Ga2 0.3925 0.8925 0.2851  1 Ga 2.60
Ga3 0.6075 0.1075 0.7149  1 Ga 2.60
Ga4 0.8925 0.6075 0.5000  1 Ga 2.60

Output
Energy in eV/atom: -2.2342
N(E_F) in states/eV per cell: 17.3
Formation energy in eV/atom: -0.227
SG: I4/mcm, No. 140